# MgSbMo2

A relaxed structure of MgSbMo2 (PBE, the Alexandria database).

**Total moment**: 0.00 μB/cell
**Volume**: 158 Å³ per cell
**DOS(E_F)**: 4.93 states/eV/f.u.
**Distance to the lowest polymorph of the same formula**: 704 meV per atom
**Symmetry**: I-42d

Lattice parameters (Å, degrees): 6.021 6.021 6.021 102.19 102.19 125.28
Fractional positions:
Mg (0.000, 0.000, 0.000)
Mg (0.750, 0.250, 0.500)
Sb (0.250, 0.750, 0.500)
Sb (0.500, 0.500, 0.000)
Mo (0.148, 0.625, 0.023)
Mo (0.375, 0.398, 0.523)
Mo (0.602, 0.125, 0.977)
Mo (0.875, 0.852, 0.477)

***

# MgSb2Mo

A relaxed structure of MgSb2Mo (PBE, the Alexandria database).

**Total moment**: 0.00 μB/cell
**Volume**: 85 Å³ per cell
**Energy**: -5.053 eV per atom
**DOS(E_F)**: 3.80 states/eV/f.u.
**Symmetry**: Amm2

Lattice parameters (Å, degrees): 4.657 5.470 5.470 37.44 90.00 90.00
Fractional positions:
Mg (0.000, 0.000, 0.000)
Sb (0.000, 0.731, 0.731)
Sb (0.500, 0.442, 0.442)
Mo (0.500, 0.155, 0.155)

***

# MgSbMo2

A relaxed structure of MgSbMo2 (PBE, the Alexandria database).

**Total moment**: 0.00 μB/cell
**Volume**: 72 Å³ per cell
**DOS(E_F)**: 3.01 states/eV/f.u.
**Distance to the lowest polymorph of the same formula**: 105 meV per atom
**Symmetry**: Imm2

Lattice parameters (Å, degrees): 5.275 5.275 5.275 140.50 128.85 66.49
Fractional positions:
Mg (0.000, 0.000, 0.000)
Sb (0.269, 0.769, 0.500)
Mo (0.525, 0.525, 0.000)
Mo (0.740, 0.240, 0.500)

***

# MgSbMo4

A relaxed structure of MgSbMo4 (PBE, the Alexandria database).

**Total moment**: 0.00 μB/cell
**Volume**: 108 Å³ per cell
**Energy**: -7.794 eV per atom
**DOS(E_F)**: 3.92 states/eV/f.u.
**Symmetry**: F-43m

Lattice parameters (Å, degrees): 5.349 5.349 5.349 60.00 60.00 60.00
Fractional positions:
Mg (0.000, 0.000, 0.000)
Sb (0.250, 0.250, 0.250)
Mo (0.123, 0.626, 0.626)
Mo (0.626, 0.123, 0.626)
Mo (0.626, 0.626, 0.123)
Mo (0.626, 0.626, 0.626)

***

# Mg2SbMo

A relaxed structure of Mg2SbMo (PBE, the Alexandria database).

**Total moment**: 1.13 μB/cell
**Volume**: 76 Å³ per cell
**Energy**: -4.328 eV per atom
**DOS(E_F)**: 2.80 states/eV/f.u.
**Symmetry**: P4/mmm

Lattice parameters (Å, degrees): 4.272 4.272 4.174 90.00 90.00 90.00
Fractional positions:
Mg (0.000, 0.500, 0.000)
Mg (0.500, 0.000, 0.000)
Sb (0.000, 0.000, 0.500)
Mo (0.500, 0.500, 0.500)

***

# Mg2SbMo

A relaxed structure of Mg2SbMo (PBE, the Alexandria database).

**Total moment**: 0.00 μB/cell
**Volume**: 80 Å³ per cell
**Energy**: -4.348 eV per atom
**DOS(E_F)**: 1.34 states/eV/f.u.
**Symmetry**: Pm

Lattice parameters (Å, degrees): 2.961 4.853 5.781 90.00 104.36 90.00
Fractional positions:
Mg (0.000, 0.000, 0.000)
Mg (0.345, 0.500, 0.715)
Sb (0.728, 0.000, 0.465)
Mo (0.613, 0.500, 0.228)

***

# MgSb2Mo2

A relaxed structure of MgSb2Mo2 (PBE, the Alexandria database).

**Total moment**: 1.35 μB/cell
**Volume**: 198 Å³ per cell
**Energy**: -6.099 eV per atom
**DOS(E_F)**: 3.76 states/eV/f.u.
**Symmetry**: P4/mbm

Lattice parameters (Å, degrees): 7.566 7.566 3.454 90.00 90.00 90.00
Fractional positions:
Mg (0.000, 0.000, 0.000)
Mg (0.500, 0.500, 0.000)
Sb (0.157, 0.343, 0.500)
Sb (0.343, 0.843, 0.500)
Sb (0.657, 0.157, 0.500)
Sb (0.843, 0.657, 0.500)
Mo (0.137, 0.637, 0.000)
Mo (0.363, 0.137, 0.000)
Mo (0.637, 0.863, 0.000)
Mo (0.863, 0.363, 0.000)

***

# Mg2SbMo

A relaxed structure of Mg2SbMo (PBE, the Alexandria database).

**Total moment**: 0.92 μB/cell
**Volume**: 79 Å³ per cell
**Energy**: -4.289 eV per atom
**DOS(E_F)**: 2.89 states/eV/f.u.
**Symmetry**: Pmmm

Lattice parameters (Å, degrees): 3.658 3.819 5.667 90.00 90.00 90.00
Fractional positions:
Mg (0.000, 0.000, 0.234)
Mg (0.000, 0.000, 0.766)
Sb (0.500, 0.500, 0.500)
Mo (0.500, 0.500, 0.000)